## PbAu5 (PBE)

Data for a geometry-optimized PbAu5 structure.

Cell: 5.278 5.278 6.591 Å, 71.85 71.85 43.93°
Atoms (fractional coordinates):
Au 0.639 0.639 0.241
Au 0.633 0.633 0.704
Au 0.306 0.306 0.389
Au 0.978 0.978 0.074
Au 0.972 0.972 0.537
Pb 0.306 0.306 0.889

Summary:
- E_tot (eV per atom) = -3.32
- formation energy (kcal/mol of atoms) = 0.709